The following is a SCAN calculation of a crystal of VO2F relaxed with PBEsol, from Alexandria via LeMat-Bulk.

Unit cell a=5.048 b=5.222 c=12.729 alpha=90.49 beta=90.89 gamma=118.55
Fractional positions:
V 0.000 0.000 0.000
V 0.004 0.059 0.505
V 0.324 0.728 0.672
V 0.352 0.715 0.172
V 0.653 0.388 0.337
V 0.684 0.397 0.837
O 0.032 0.533 0.795
O 0.124 0.884 0.631
O 0.171 0.833 0.087
O 0.274 0.151 0.918
O 0.351 0.211 0.464
O 0.448 0.544 0.297
O 0.509 0.489 0.749
O 0.592 0.829 0.586
O 0.695 0.884 0.132
O 0.755 0.687 0.938
O 0.828 0.161 0.418
O 0.916 0.491 0.251
F 0.062 0.353 0.607
F 0.234 0.359 0.108
F 0.394 0.012 0.276
F 0.559 0.006 0.778
F 0.803 0.214 0.969
F 0.885 0.681 0.442

Calculated values
formation energy without anion corrections: -250 kJ/mol of atoms
total DFT energy (no corrections): -10.96 eV/atom
crystal system: triclinic

The following is a SCAN calculation of a crystal of CdSiRh2 relaxed with PBEsol, from Alexandria via LeMat-Bulk.

Unit cell a=2.865 b=2.865 c=6.901 alpha=90.00 beta=90.00 gamma=90.00
Fractional positions:
Cd 0.000 0.000 0.000
Si 0.000 0.000 0.500
Rh 0.500 0.500 0.298
Rh 0.500 0.500 0.702

Calculated values
formation energy without anion corrections: -67 kJ/mol of atoms
total DFT energy (no corrections): -27.69 eV/atom
crystal system: tetragonal

The following is a SCAN calculation of a crystal of Nd6Fe13Si relaxed with PBEsol, from Alexandria via LeMat-Bulk.

Unit cell a=12.572 b=12.572 c=12.572 alpha=143.69 beta=143.69 gamma=52.30
Fractional positions:
Nd 0.021 0.521 0.165
Nd 0.109 0.109 0.000
Nd 0.144 0.979 0.500
Nd 0.356 0.856 0.835
Nd 0.391 0.391 0.000
Nd 0.479 0.644 0.500
Nd 0.521 0.356 0.500
Nd 0.609 0.609 0.000
Nd 0.644 0.144 0.165
Nd 0.856 0.021 0.500
Nd 0.891 0.891 0.000
Nd 0.979 0.479 0.835
Fe 0.000 0.500 0.500
Fe 0.017 0.293 0.500
Fe 0.066 0.209 0.275
Fe 0.120 0.620 0.860
Fe 0.207 0.483 0.500
Fe 0.209 0.934 0.142
Fe 0.240 0.740 0.860
Fe 0.260 0.120 0.500
Fe 0.291 0.434 0.725
Fe 0.293 0.793 0.275
Fe 0.380 0.240 0.500
Fe 0.434 0.709 0.142
Fe 0.483 0.983 0.275
Fe 0.500 0.000 0.500
Fe 0.517 0.017 0.725
Fe 0.566 0.291 0.858
Fe 0.620 0.760 0.500
Fe 0.707 0.207 0.725
Fe 0.709 0.566 0.275
Fe 0.740 0.880 0.500
Fe 0.760 0.260 0.140
Fe 0.791 0.066 0.858
Fe 0.793 0.517 0.500
Fe 0.880 0.380 0.140
Fe 0.934 0.791 0.725
Fe 0.983 0.707 0.500
Si 0.250 0.250 0.000
Si 0.750 0.750 0.000

Calculated values
formation energy without anion corrections: -7 kJ/mol of atoms
total DFT energy (no corrections): -25.43 eV/atom
crystal system: tetragonal

The following is a SCAN calculation of a crystal of NdSn4Rh2 relaxed with PBEsol, from Alexandria via LeMat-Bulk.

Unit cell a=18.347 b=4.466 c=7.101 alpha=90.00 beta=90.00 gamma=90.00
Fractional positions:
Nd 0.141 0.250 0.001
Nd 0.359 0.750 0.501
Nd 0.641 0.250 0.499
Nd 0.859 0.750 0.999
Sn 0.032 0.750 0.866
Sn 0.068 0.250 0.479
Sn 0.182 0.750 0.299
Sn 0.194 0.750 0.721
Sn 0.306 0.250 0.221
Sn 0.318 0.250 0.799
Sn 0.432 0.750 0.979
Sn 0.468 0.250 0.366
Sn 0.532 0.750 0.634
Sn 0.568 0.250 0.021
Sn 0.682 0.750 0.201
Sn 0.694 0.750 0.779
Sn 0.806 0.250 0.279
Sn 0.818 0.250 0.701
Sn 0.932 0.750 0.521
Sn 0.968 0.250 0.134
Rh 0.034 0.750 0.251
Rh 0.213 0.250 0.515
Rh 0.287 0.750 0.015
Rh 0.466 0.250 0.751
Rh 0.534 0.750 0.249
Rh 0.713 0.250 0.985
Rh 0.787 0.750 0.485
Rh 0.966 0.250 0.749

Calculated values
total DFT energy (no corrections): -37.10 eV/atom
crystal system: orthorhombic

The following is a SCAN calculation of a crystal of HfTeAsI2 relaxed with PBEsol, from Alexandria via LeMat-Bulk.

Unit cell a=5.616 b=5.616 c=5.508 alpha=90.00 beta=90.00 gamma=90.00
Fractional positions:
Hf 0.000 0.000 0.000
Te 0.000 0.000 0.500
As 0.500 0.500 0.500
I 0.000 0.500 0.000
I 0.500 0.000 0.000

Calculated values
formation energy without anion corrections: 11 kJ/mol of atoms
total DFT energy (no corrections): -38.60 eV/atom
crystal system: tetragonal

The following is a SCAN calculation of a crystal of Ag5Se relaxed with PBEsol, from Alexandria via LeMat-Bulk.

Unit cell a=4.704 b=7.726 c=7.726 alpha=21.66 beta=90.00 gamma=90.00
Fractional positions:
Ag 0.000 0.000 0.000
Ag 0.000 0.326 0.326
Ag 0.000 0.663 0.663
Ag 0.500 0.218 0.218
Ag 0.500 0.558 0.558
Se 0.500 0.892 0.892

Calculated values
formation energy without anion corrections: 7 kJ/mol of atoms
total DFT energy (no corrections): -29.42 eV/atom
crystal system: orthorhombic

The following is a SCAN calculation of a crystal of CuAsF7 relaxed with PBEsol, from Alexandria via LeMat-Bulk.

Unit cell a=7.219 b=7.219 c=7.219 alpha=123.08 beta=83.69 gamma=124.33
Fractional positions:
Cu 0.500 0.000 0.000
Cu 0.500 0.500 0.500
As 0.000 0.000 0.000
As 0.500 0.000 0.500
F 0.145 0.213 0.299
F 0.145 0.846 0.932
F 0.221 0.747 0.474
F 0.226 0.253 0.974
F 0.400 0.650 0.750
F 0.414 0.213 0.568
F 0.414 0.846 0.201
F 0.586 0.154 0.799
F 0.586 0.787 0.432
F 0.600 0.350 0.250
F 0.774 0.747 0.026
F 0.779 0.253 0.526
F 0.855 0.154 0.068
F 0.855 0.787 0.701

Calculated values
formation energy without anion corrections: -199 kJ/mol of atoms
total DFT energy (no corrections): -8.74 eV/atom
crystal system: orthorhombic

The following is a SCAN calculation of a crystal of DyMn12 relaxed with PBEsol, from Alexandria via LeMat-Bulk.

Unit cell a=6.195 b=6.195 c=6.195 alpha=97.59 beta=97.59 gamma=137.39
Fractional positions:
Dy 0.000 0.000 0.000
Mn 0.000 0.000 0.500
Mn 0.000 0.365 0.365
Mn 0.000 0.500 0.000
Mn 0.000 0.635 0.635
Mn 0.274 0.500 0.774
Mn 0.365 0.000 0.365
Mn 0.500 0.000 0.000
Mn 0.500 0.274 0.774
Mn 0.500 0.500 0.500
Mn 0.500 0.726 0.226
Mn 0.635 0.000 0.635
Mn 0.726 0.500 0.226

Calculated values
total DFT energy (no corrections): -20.52 eV/atom
crystal system: tetragonal

The following is a SCAN calculation of a crystal of Cu2Si3 relaxed with PBEsol, from Alexandria via LeMat-Bulk.

Unit cell a=9.249 b=9.249 c=9.249 alpha=17.96 beta=17.96 gamma=17.96
Fractional positions:
Cu 0.099 0.099 0.099
Cu 0.901 0.901 0.901
Si 0.299 0.299 0.299
Si 0.500 0.500 0.500
Si 0.701 0.701 0.701

Calculated values
formation energy without anion corrections: 24 kJ/mol of atoms
total DFT energy (no corrections): -11.84 eV/atom
crystal system: trigonal

The following is a SCAN calculation of a crystal of SbP2CO relaxed with PBEsol, from Alexandria via LeMat-Bulk.

Unit cell a=4.174 b=4.174 c=3.591 alpha=90.00 beta=90.00 gamma=90.00
Fractional positions:
Sb 0.000 0.000 0.000
P 0.000 0.500 0.500
P 0.500 0.000 0.500
C 0.500 0.500 0.500
O 0.500 0.500 0.000

Calculated values
formation energy without anion corrections: 98 kJ/mol of atoms
total DFT energy (no corrections): -13.86 eV/atom
crystal system: tetragonal

The following is a SCAN calculation of a crystal of NbP4S10Cl5 relaxed with PBEsol, from Alexandria via LeMat-Bulk.

Unit cell a=9.635 b=11.033 c=11.591 alpha=70.93 beta=67.76 gamma=67.53
Fractional positions:
Nb 0.043 0.134 0.339
Nb 0.957 0.866 0.661
P 0.010 0.327 0.765
P 0.301 0.046 0.841
P 0.307 0.355 0.841
P 0.384 0.271 0.559
P 0.616 0.729 0.441
P 0.693 0.645 0.159
P 0.699 0.954 0.159
P 0.990 0.673 0.235
S 0.061 0.123 0.854
S 0.066 0.433 0.855
S 0.144 0.349 0.572
S 0.210 0.601 0.223
S 0.349 0.860 0.925
S 0.356 0.451 0.925
S 0.357 0.151 0.932
S 0.436 0.066 0.648
S 0.441 0.376 0.648
S 0.496 0.708 0.618
S 0.504 0.292 0.382
S 0.559 0.624 0.352
S 0.564 0.934 0.352
S 0.643 0.849 0.068
S 0.644 0.549 0.075
S 0.651 0.140 0.075
S 0.790 0.399 0.777
S 0.856 0.651 0.428
S 0.934 0.567 0.145
S 0.939 0.877 0.146
Cl 0.084 0.784 0.813
Cl 0.136 0.713 0.538
Cl 0.142 0.012 0.534
Cl 0.210 0.946 0.256
Cl 0.227 0.243 0.259
Cl 0.773 0.757 0.741
Cl 0.790 0.054 0.744
Cl 0.858 0.988 0.466
Cl 0.864 0.287 0.462
Cl 0.916 0.216 0.187

Calculated values
formation energy without anion corrections: -56 kJ/mol of atoms
total DFT energy (no corrections): -11.12 eV/atom
crystal system: triclinic

The following is a SCAN calculation of a crystal of Li8Pr7Ge10 relaxed with PBEsol, from Alexandria via LeMat-Bulk.

Unit cell a=17.007 b=17.007 c=4.416 alpha=90.00 beta=90.00 gamma=156.79
Fractional positions:
Li 0.044 0.331 0.000
Li 0.235 0.385 0.500
Li 0.331 0.044 0.000
Li 0.385 0.235 0.500
Li 0.615 0.765 0.500
Li 0.669 0.956 0.000
Li 0.765 0.615 0.500
Li 0.956 0.669 0.000
Pr 0.057 0.943 0.000
Pr 0.221 0.779 0.500
Pr 0.339 0.661 0.500
Pr 0.500 0.500 0.000
Pr 0.661 0.339 0.500
Pr 0.779 0.221 0.500
Pr 0.943 0.057 0.000
Ge 0.102 0.533 0.000
Ge 0.127 0.873 0.500
Ge 0.185 0.185 0.500
Ge 0.406 0.594 0.000
Ge 0.467 0.898 0.000
Ge 0.533 0.102 0.000
Ge 0.594 0.406 0.000
Ge 0.815 0.815 0.500
Ge 0.873 0.127 0.500
Ge 0.898 0.467 0.000

Calculated values
total DFT energy (no corrections): -21.28 eV/atom
crystal system: orthorhombic